Record 1
{"formula": "Li2Tl2Cd", "functional": "PBE", "state": "relaxed", "spacegroup": "I4/mmm (139)", "de_polymorph_mev_per_atom": 143, "lattice_angstrom": [[4.0412, 0.0000, 0.0000], [0.0000, 4.0412, 0.0000], [2.0206, 2.0206, 7.1559]], "species": ["Tl", "Tl", "Li", "Li", "Cd"], "frac_coords": [[0.3938, 0.3938, 0.2124], [0.6062, 0.6062, 0.7876], [0.7500, 0.2500, 0.5000], [0.2500, 0.7500, 0.5000], [0.0000, 0.0000, 0.0000]]}

=====

Record 2
{"formula": "LiTlCd", "functional": "PBE", "state": "relaxed", "spacegroup": "F-43m (216)", "de_polymorph_mev_per_atom": 99, "lattice_angstrom": [[4.6748, 0.0000, 0.0000], [2.3374, 4.0485, 0.0000], [2.3374, 1.3495, 3.8170]], "species": ["Cd", "Li", "Tl"], "frac_coords": [[0.5000, 0.5000, 0.5000], [0.7500, 0.7500, 0.7500], [0.0000, 0.0000, 0.0000]]}

=====

Record 3
{"formula": "LiTlCd2", "functional": "PBE", "state": "relaxed", "spacegroup": "P4mm (99)", "e_tot_ry_per_atom": -0.119, "lattice_angstrom": [[-2.9280, 2.1173, -1.0645], [-1.9052, -3.1094, -0.9440], [-2.3814, -0.3302, 5.8937]], "species": ["Tl", "Li", "Cd", "Cd"], "frac_coords": [[0.5000, 0.5000, 0.7353], [0.0000, 0.0000, 0.4938], [0.0000, 0.0000, 0.0134], [0.5000, 0.5000, 0.2575]]}

=====

Record 4
{"formula": "Li7Tl2Cd2", "functional": "PBE", "state": "relaxed", "spacegroup": "C2/m (12)", "de_polymorph_mev_per_atom": 18, "lattice_angstrom": [[-4.9238, -1.5875, -2.0727], [2.1709, -3.0713, -6.2545], [0.2461, -4.4125, 3.3955]], "species": ["Li", "Li", "Li", "Li", "Li", "Li", "Li", "Tl", "Tl", "Cd", "Cd"], "frac_coords": [[0.0967, 0.1908, 0.5003], [0.5003, 0.8092, 0.0967], [0.9033, 0.8092, 0.4997], [0.4997, 0.1908, 0.9033], [0.0000, 0.0000, 0.0000], [0.6980, 0.4850, 0.3020], [0.3020, 0.5150, 0.6980], [0.6065, 0.1532, 0.3935], [0.3935, 0.8468, 0.6065], [0.8058, 0.5000, 0.8058], [0.1942, 0.5000, 0.1942]]}

=====

Record 5
{"formula": "LiTlCd", "functional": "PBE", "state": "relaxed", "spacegroup": "C2/m (12)", "de_polymorph_mev_per_atom": 9, "lattice_angstrom": [[-0.0256, -0.4962, -5.1393], [2.4492, -3.0425, 2.8752], [-4.4574, -4.9496, 0.5000]], "species": ["Li", "Li", "Tl", "Tl", "Cd", "Cd"], "frac_coords": [[0.9990, 0.9980, 0.7363], [0.0010, 0.0020, 0.2637], [0.6657, 0.3313, 0.1025], [0.3343, 0.6687, 0.8975], [0.3298, 0.6595, 0.4233], [0.6702, 0.3405, 0.5767]]}

=====

Record 6
{"formula": "Li7TlCd3", "functional": "PBE", "state": "relaxed", "spacegroup": "Cmcm (63)", "de_polymorph_mev_per_atom": 0, "lattice_angstrom": [[3.0590, 0.0000, 0.0000], [-1.5295, 12.3967, 0.0000], [0.0000, 0.0000, 11.8332]], "species": ["Li", "Li", "Li", "Li", "Li", "Li", "Li", "Li", "Li", "Li", "Li", "Li", "Li", "Li", "Tl", "Tl", "Cd", "Cd", "Cd", "Cd", "Cd", "Cd"], "frac_coords": [[0.3260, 0.6521, 0.7500], [0.6740, 0.3479, 0.2500], [0.5610, 0.1219, 0.3816], [0.4390, 0.8781, 0.6184], [0.4390, 0.8781, 0.8816], [0.5610, 0.1219, 0.1184], [0.4107, 0.8214, 0.3896], [0.5893, 0.1786, 0.6104], [0.2670, 0.5341, 0.3905], [0.7330, 0.4659, 0.6095], [0.7330, 0.4659, 0.8905], [0.2670, 0.5341, 0.1095], [0.4107, 0.8214, 0.1104], [0.5893, 0.1786, 0.8896], [0.9832, 0.9665, 0.2500], [0.0168, 0.0335, 0.7500], [0.1574, 0.3148, 0.4632], [0.8426, 0.6852, 0.5368], [0.1609, 0.3217, 0.7500], [0.8391, 0.6783, 0.2500], [0.1574, 0.3148, 0.0368], [0.8426, 0.6852, 0.9632]]}

=====

Record 7
{"formula": "Li2TlCd", "functional": "PBE", "state": "relaxed", "spacegroup": "R3m (160)", "e_tot_ry_per_atom": -0.141, "lattice_angstrom": [[-3.2175, 0.1501, 0.6626], [-1.5710, -2.6573, 1.1334], [0.3102, 1.7371, 9.2732]], "species": ["Li", "Li", "Tl", "Cd"], "frac_coords": [[0.0834, 0.0834, 0.7497], [0.2502, 0.2502, 0.2495], [0.5002, 0.5002, 0.4994], [0.6662, 0.6662, 0.0014]]}

=====

Record 8
{"formula": "Li12Tl6Cd", "functional": "PBE", "state": "relaxed", "spacegroup": "R-3 (148)", "e_tot_ry_per_atom": -0.159, "lattice_angstrom": [[7.4965, -0.4296, -2.0001], [-2.4945, 7.0824, -2.0001], [-0.3230, -0.4296, 7.7520]], "species": ["Li", "Li", "Li", "Li", "Li", "Li", "Li", "Li", "Li", "Li", "Li", "Li", "Tl", "Tl", "Tl", "Tl", "Tl", "Tl", "Cd"], "frac_coords": [[0.4730, 0.1834, 0.5926], [0.1834, 0.5926, 0.4730], [0.5926, 0.4730, 0.1834], [0.5270, 0.8166, 0.4074], [0.8166, 0.4074, 0.5270], [0.4074, 0.5270, 0.8166], [0.2736, 0.1346, 0.8349], [0.1651, 0.7264, 0.8654], [0.8654, 0.1651, 0.7264], [0.7264, 0.8654, 0.1651], [0.8349, 0.2736, 0.1346], [0.1346, 0.8349, 0.2736], [0.0849, 0.2066, 0.4669], [0.7934, 0.5331, 0.9151], [0.5331, 0.9151, 0.7934], [0.9151, 0.7934, 0.5331], [0.2066, 0.4669, 0.0849], [0.4669, 0.0849, 0.2066], [0.0000, 0.0000, 0.0000]]}

=====

Record 9
{"formula": "Li4TlCd3", "functional": "PBE", "state": "relaxed", "spacegroup": "C2/m (12)", "de_polymorph_mev_per_atom": 53, "lattice_angstrom": [[4.9018, 0.0000, 0.0000], [0.0000, 4.7870, 0.6690], [-2.4509, 1.4866, 6.9460]], "species": ["Li", "Li", "Li", "Li", "Tl", "Cd", "Cd", "Cd"], "frac_coords": [[0.3712, 0.6284, 0.7424], [0.6288, 0.3716, 0.2576], [0.7496, 0.7508, 0.4992], [0.2504, 0.2492, 0.5008], [0.5000, 0.0000, 0.0000], [0.0000, 0.5000, 0.0000], [0.1441, 0.8555, 0.2882], [0.8559, 0.1445, 0.7118]]}

=====

Record 10
{"formula": "Li3Tl4Cd2", "functional": "PBE", "state": "relaxed", "spacegroup": "C2/c (15)", "e_tot_ry_per_atom": -0.147, "lattice_angstrom": [[-3.9765, 5.6433, 2.1857], [-2.5293, 0.7271, -6.7454], [-4.7917, -6.5840, 2.8471]], "species": ["Li", "Li", "Li", "Li", "Li", "Li", "Tl", "Tl", "Tl", "Tl", "Tl", "Tl", "Tl", "Tl", "Cd", "Cd", "Cd", "Cd"], "frac_coords": [[0.0013, 0.6754, 0.7541], [0.3248, 0.9988, 0.7459], [0.9987, 0.3246, 0.2459], [0.6752, 0.0012, 0.2541], [0.3440, 0.6558, 0.2500], [0.6560, 0.3442, 0.7500], [0.0257, 0.7826, 0.4295], [0.2174, 0.9744, 0.0705], [0.9743, 0.2174, 0.5705], [0.7826, 0.0256, 0.9295], [0.8573, 0.6412, 0.0705], [0.3587, 0.1428, 0.4296], [0.1427, 0.3588, 0.9295], [0.6413, 0.8572, 0.5704], [0.6777, 0.4498, 0.4198], [0.5501, 0.3222, 0.0801], [0.3223, 0.5502, 0.5802], [0.4499, 0.6778, 0.9199]]}

=====

Record 11
{"formula": "Li4TlCd4", "functional": "PBE", "state": "relaxed", "spacegroup": "I4/mmm (139)", "e_tot_ry_per_atom": -0.126, "lattice_angstrom": [[3.7063, 0.0000, 1.1189], [1.8531, 6.7892, 0.5595], [-0.1091, 0.0000, 7.0590]], "species": ["Li", "Li", "Li", "Li", "Tl", "Cd", "Cd", "Cd", "Cd"], "frac_coords": [[0.1678, 0.1643, 0.0001], [0.8322, 0.8357, 0.9999], [0.8321, 0.5001, 0.3357], [0.1679, 0.4999, 0.6643], [0.5000, 0.5000, 0.0000], [0.5000, 0.1725, 0.3275], [0.5000, 0.8275, 0.6725], [0.1725, 0.8275, 0.3275], [0.8275, 0.1725, 0.6725]]}

=====

Record 12
{"formula": "Li3TlCd3", "functional": "PBE", "state": "relaxed", "spacegroup": "Pm-3n (223)", "de_polymorph_mev_per_atom": 380, "lattice_angstrom": [[-6.2597, 1.5336, 3.5303], [-0.9209, -7.1409, 1.4691], [3.7373, 0.8090, 6.2752]], "species": ["Tl", "Tl", "Li", "Li", "Li", "Li", "Li", "Li", "Cd", "Cd", "Cd", "Cd", "Cd", "Cd"], "frac_coords": [[0.5000, 0.5000, 0.5000], [0.0000, 0.0000, 0.0000], [0.0000, 0.2500, 0.5000], [0.0000, 0.7500, 0.5000], [0.5000, 0.0000, 0.7500], [0.7500, 0.5000, 0.0000], [0.5000, 0.0000, 0.2500], [0.2500, 0.5000, 0.0000], [0.2500, 0.0000, 0.5000], [0.0000, 0.5000, 0.2500], [0.5000, 0.7500, 0.0000], [0.7500, 0.0000, 0.5000], [0.0000, 0.5000, 0.7500], [0.5000, 0.2500, 0.0000]]}